Entry 1:
LaTbPa | PBE-GGA | optimized geometry

Structure (POSCAR):
```
LaTbPa
1.0
0.000 3.778 3.778
3.778 0.000 3.778
3.778 3.778 0.000
La Tb Pa
1 1 1
Direct
0.000 0.000 0.000
0.500 0.500 0.500
0.250 0.250 0.250
```

The value obtained for the size of the total moment is 3.10 μB/cell. The energy relative to the elements comes out at 1.055 eV per atom. The density is 8146 kg/m3. Its space group is F-43m. As for the crystal system: cubic. The electronic total energy is -15.88 eV/cell.

=====

Entry 2:
CdHgSO | PBE-GGA | optimized geometry

Structure (POSCAR):
```
CdHgSO
1.0
3.991 0.000 0.000
0.000 3.991 0.000
0.000 0.000 10.043
Cd Hg S O
2 2 2 2
Direct
0.250 0.250 0.093
0.750 0.750 0.907
0.250 0.250 0.643
0.750 0.750 0.357
0.250 0.250 0.349
0.750 0.750 0.651
0.250 0.750 0.000
0.750 0.250 0.000
```

The density is 7494 kg/m3. Its space group is P4/nmm. The relative energy among the computed polymorphs comes out at 169 meV per atom. As for the crystal system: tetragonal. The electronic total energy is -23.28 eV/cell.

=====

Entry 3:
PmSiSe3 | PBE-GGA | optimized geometry

Structure (POSCAR):
```
PmSiSe3
1.0
6.892 0.000 0.000
0.000 7.755 0.000
-6.473 0.000 9.561
Pm Si Se
4 4 12
Direct
0.212 0.126 0.252
0.212 0.374 0.752
0.788 0.626 0.248
0.788 0.874 0.748
0.143 0.600 0.066
0.143 0.900 0.566
0.857 0.100 0.434
0.857 0.400 0.934
0.078 0.179 0.933
0.078 0.321 0.433
0.285 0.689 0.938
0.285 0.811 0.438
0.417 0.022 0.775
0.417 0.478 0.275
0.583 0.522 0.725
0.583 0.978 0.225
0.715 0.189 0.562
0.715 0.311 0.062
0.922 0.679 0.567
0.922 0.821 0.067
```

The value obtained for the size of the total moment is 0.01 μB/cell. The density is 5329 kg/m3. Its space group is P2_1/c. As for the crystal system: monoclinic. The electronic total energy is -105.64 eV/cell.

=====

Entry 4:
TmFe6Sn6 | PBE-GGA | optimized geometry

Structure (POSCAR):
```
TmFe6Sn6
1.0
5.388 0.000 0.000
-2.694 4.666 0.000
0.000 0.000 8.907
Tm Fe Sn
1 6 6
Direct
0.000 0.000 0.000
0.000 0.500 0.246
0.000 0.500 0.754
0.500 0.000 0.246
0.500 0.000 0.754
0.500 0.500 0.246
0.500 0.500 0.754
0.000 0.000 0.336
0.000 0.000 0.664
0.333 0.667 0.000
0.333 0.667 0.500
0.667 0.333 0.000
0.667 0.333 0.500
```

The value obtained for the size of the total moment is 12.53 μB/cell. The density is 9019 kg/m3. Its space group is P6/mmm. As for the crystal system: hexagonal. The electronic total energy is -79.81 eV/cell.

=====

Entry 5:
DyNb2Sb3 | PBE-GGA | optimized geometry

Structure (POSCAR):
```
DyNb2Sb3
1.0
4.743 0.000 0.000
-2.372 4.108 0.000
0.000 0.000 7.182
Dy Nb Sb
1 2 3
Direct
0.000 0.000 0.000
0.333 0.667 0.611
0.667 0.333 0.389
0.000 0.000 0.500
0.333 0.667 0.217
0.667 0.333 0.783
```

The value obtained for the size of the total moment is 0.01 μB/cell. The density is 8467 kg/m3. Its space group is P-3m1. As for the crystal system: trigonal. The electronic total energy is -39.50 eV/cell.

=====

Entry 6:
Li2Mg2InSnIr2 | PBE-GGA | optimized geometry

Structure (POSCAR):
```
Li2Mg2InSnIr2
1.0
4.541 0.000 0.000
0.000 4.541 0.000
0.000 0.000 6.416
Li Mg In Sn Ir
2 2 1 1 2
Direct
0.000 0.500 0.249
0.500 0.000 0.751
0.000 0.000 0.000
0.500 0.500 0.500
0.500 0.500 0.000
0.000 0.000 0.500
0.000 0.500 0.743
0.500 0.000 0.257
```

The value obtained for the size of the total moment is 0.00 μB/cell. The density is 8541 kg/m3. Its space group is P-4m2. As for the crystal system: tetragonal. The electronic total energy is -34.81 eV/cell.

=====

Question: Which value of electronic total energy does entry 3 give?
Answer: -105.64 eV/cell